i:
Density functional theory data (PBE) for an optimized crystal structure of KTc2Te2. Values from VASP.

Geometry as Quantum ESPRESSO input:
```
&SYSTEM
  ibrav = 0, nat = 10, ntyp = 3
/
ATOMIC_SPECIES
K 39.10 K.upf
Tc 98.00 Tc.upf
Te 127.60 Te.upf
CELL_PARAMETERS angstrom
8.318 0.000 0.000
0.000 8.318 0.000
0.000 0.000 3.199
ATOMIC_POSITIONS angstrom
K 0.000 0.000 0.000
K 4.159 4.159 0.000
Tc 1.030 3.129 1.600
Tc 3.129 7.288 1.600
Tc 5.189 1.030 1.600
Tc 7.288 5.189 1.600
Te 1.197 5.356 0.000
Te 2.962 1.197 0.000
Te 5.356 7.121 0.000
Te 7.121 2.962 0.000
```

Properties
The value obtained for the spin magnetization is 1.57 μB/cell. Its symmetry is No. 127. The density of states at the Fermi level comes out at 0.981 states/eV per atom. The calculated volume comes out at 22.134 Å³/atom.

=====

ii:
Density functional theory data (PBE) for an optimized crystal structure of KTc2Te2. Values from VASP.

Geometry as Quantum ESPRESSO input:
```
&SYSTEM
  ibrav = 0, nat = 5, ntyp = 3
/
ATOMIC_SPECIES
K 39.10 K.upf
Tc 98.00 Tc.upf
Te 127.60 Te.upf
CELL_PARAMETERS angstrom
-2.108 2.108 7.358
2.108 -2.108 7.358
2.108 2.108 -7.358
ATOMIC_POSITIONS angstrom
K 0.000 0.000 0.000
Tc 2.108 0.000 3.679
Tc 0.000 2.108 3.679
Te 0.000 0.000 5.264
Te 0.000 0.000 9.451
```

Properties
The value obtained for the spin magnetization is 0.00 μB/cell. Its symmetry is No. 139. The density of states at the Fermi level comes out at 0.628 states/eV per atom. The calculated volume comes out at 26.156 Å³/atom.

=====

Least stable structure: i

=====

i:
Density functional theory data (PBE) for an optimized crystal structure of KTl2Tc. Values from VASP.

Geometry as Quantum ESPRESSO input:
```
&SYSTEM
  ibrav = 0, nat = 4, ntyp = 3
/
ATOMIC_SPECIES
K 39.10 K.upf
Tl 204.38 Tl.upf
Tc 98.00 Tc.upf
CELL_PARAMETERS angstrom
3.182 0.000 0.000
0.000 4.562 0.000
0.000 0.000 8.166
ATOMIC_POSITIONS angstrom
K 0.000 0.000 0.000
Tl 1.591 0.000 5.033
Tl 1.591 2.281 2.497
Tc 0.000 2.281 4.890
```

Properties
The value obtained for the spin magnetization is 0.00 μB/cell. Its symmetry is No. 25. The density of states at the Fermi level comes out at 0.847 states/eV per atom. The calculated volume comes out at 29.634 Å³/atom.

=====

ii:
Density functional theory data (PBE) for an optimized crystal structure of KTl2Tc. Values from VASP.

Geometry as Quantum ESPRESSO input:
```
&SYSTEM
  ibrav = 0, nat = 4, ntyp = 3
/
ATOMIC_SPECIES
K 39.10 K.upf
Tl 204.38 Tl.upf
Tc 98.00 Tc.upf
CELL_PARAMETERS angstrom
4.528 -1.546 0.000
4.528 1.546 0.000
-0.810 0.000 7.682
ATOMIC_POSITIONS angstrom
K 0.000 0.000 0.000
Tl 1.587 0.000 5.265
Tl 6.659 0.000 2.417
Tc 4.123 0.000 3.841
```

Properties
The value obtained for the spin magnetization is 0.00 μB/cell. Its symmetry is No. 12. The density of states at the Fermi level comes out at 0.849 states/eV per atom. The calculated volume comes out at 26.883 Å³/atom.

=====

Least stable structure: ii